Entry 1:
# CdHgSe2 PBE-GGA optimized geometry
data_CdHgSe2
_cell_length_a 4.2721
_cell_length_b 4.2721
_cell_length_c 6.9812
_cell_angle_alpha 90.00
_cell_angle_beta 90.00
_cell_angle_gamma 120.00
_symmetry_space_group_name_H-M 'P 3 m 1'
_symmetry_Int_Tables_number 156
_symmetry_space_group_name_Hall 'P 3 -2"'
loop_
_atom_site_label
_atom_site_type_symbol
_atom_site_fract_x
_atom_site_fract_y
_atom_site_fract_z
_atom_site_occupancy
Cd1 Cd 0.0000 0.0000 0.0000 1
Hg1 Hg 0.3333 0.6667 0.4694 1
Se1 Se 0.3333 0.6667 0.8474 1
Se2 Se 0.6667 0.3333 0.2894 1
# density = 7.087 g/cm3
# polymorph energy (0 for the lowest one) = 0.096 eV/atom
# formation energy (no corrections) = -0.3217 eV/atom


Entry 2:
# Ba3PtBr PBE-GGA optimized geometry
data_Ba3PtBr
_cell_length_a 7.7622
_cell_length_b 4.6057
_cell_length_c 12.5766
_cell_angle_alpha 90.00
_cell_angle_beta 102.18
_cell_angle_gamma 90.00
_symmetry_space_group_name_H-M 'P 1 21/m 1'
_symmetry_Int_Tables_number 11
_symmetry_space_group_name_Hall '-P 2yb'
loop_
_atom_site_label
_atom_site_type_symbol
_atom_site_fract_x
_atom_site_fract_y
_atom_site_fract_z
_atom_site_occupancy
Ba1 Ba 0.0085 0.2500 0.3061 1
Ba2 Ba 0.2634 0.2500 0.9941 1
Ba3 Ba 0.4769 0.2500 0.7016 1
Pt1 Pt 0.3619 0.7500 0.8414 1
Br1 Br 0.2444 0.7500 0.4926 1
# density = 5.191 g/cm3
# polymorph energy (0 for the lowest one) = 0.000 eV/atom
# formation energy (no corrections) = -1.0225 eV/atom


Entry 3:
# RuSe PBE-GGA optimized geometry
data_RuSe
_cell_length_a 9.6144
_cell_length_b 3.0981
_cell_length_c 7.0310
_cell_angle_alpha 90.00
_cell_angle_beta 109.10
_cell_angle_gamma 90.00
_symmetry_space_group_name_H-M 'C 1 m 1'
_symmetry_Int_Tables_number 8
_symmetry_space_group_name_Hall 'C -2y'
loop_
_atom_site_label
_atom_site_type_symbol
_atom_site_fract_x
_atom_site_fract_y
_atom_site_fract_z
_atom_site_occupancy
Ru1 Ru 0.0000 0.0000 0.0000 1
Ru2 Ru 0.0495 0.0000 0.6034 1
Ru3 Ru 0.1948 0.5000 0.3593 1
Se1 Se 0.1639 0.5000 0.9063 1
Se2 Se 0.3211 0.0000 0.6325 1
Se3 Se 0.4325 0.0000 0.2510 1
# density = 9.064 g/cm3
# formation energy (no corrections) = 0.1622 eV/atom


Entry 4:
# Pr7TmMg2 PBE-GGA optimized geometry
data_Pr7TmMg2
_cell_length_a 8.9772
_cell_length_b 16.8683
_cell_length_c 5.3480
_cell_angle_alpha 90.00
_cell_angle_beta 90.00
_cell_angle_gamma 90.00
_symmetry_space_group_name_H-M 'C m m m'
_symmetry_Int_Tables_number 65
_symmetry_space_group_name_Hall '-C 2 2'
loop_
_atom_site_label
_atom_site_type_symbol
_atom_site_fract_x
_atom_site_fract_y
_atom_site_fract_z
_atom_site_occupancy
Pr1 Pr 0.0000 0.0000 0.0000 1
Pr2 Pr 0.0000 0.2879 0.5000 1
Pr3 Pr 0.1841 0.3860 0.0000 1
Tm1 Tm 0.0000 0.5000 0.5000 1
Mg1 Mg 0.0000 0.2006 0.0000 1
# density = 4.937 g/cm3
# formation energy from the elements = 503 meV per atom


Entry 5:
# Sr3DySe4 PBE-GGA optimized geometry
data_Sr3DySe4
_cell_length_a 8.7125
_cell_length_b 12.2640
_cell_length_c 4.3179
_cell_angle_alpha 90.00
_cell_angle_beta 90.00
_cell_angle_gamma 90.00
_symmetry_space_group_name_H-M 'C m m m'
_symmetry_Int_Tables_number 65
_symmetry_space_group_name_Hall '-C 2 2'
loop_
_atom_site_label
_atom_site_type_symbol
_atom_site_fract_x
_atom_site_fract_y
_atom_site_fract_z
_atom_site_occupancy
Sr1 Sr 0.0000 0.0000 0.0000 1
Sr2 Sr 0.2500 0.2500 0.5000 1
Dy1 Dy 0.0000 0.5000 0.0000 1
Se1 Se 0.0000 0.2594 0.0000 1
Se2 Se 0.2338 0.5000 0.5000 1
# density = 5.335 g/cm3
# formation energy (no corrections) = -1.9547 eV/atom


Entry 6:
# Sc2TlSbRu PBE-GGA optimized geometry
data_Sc2TlSbRu
_cell_length_a 5.2592
_cell_length_b 5.2592
_cell_length_c 5.4242
_cell_angle_alpha 90.00
_cell_angle_beta 90.00
_cell_angle_gamma 90.00
_symmetry_space_group_name_H-M 'P 4/m m m'
_symmetry_Int_Tables_number 123
_symmetry_space_group_name_Hall '-P 4 2'
loop_
_atom_site_label
_atom_site_type_symbol
_atom_site_fract_x
_atom_site_fract_y
_atom_site_fract_z
_atom_site_occupancy
Sc1 Sc 0.0000 0.5000 0.0000 1
Tl1 Tl 0.0000 0.0000 0.5000 1
Sb1 Sb 0.0000 0.0000 0.0000 1
Ru1 Ru 0.5000 0.5000 0.5000 1
# density = 5.724 g/cm3
# formation energy (no corrections) = 1.0784 eV/atom


| no. | total energy (Ha/atom) |
| --- | --- |
| 1 | -0.0870 |
| 2 | -0.1367 |
| 3 | -0.2285 |
| 4 | -0.1326 |
| 5 | -0.1802 |
| 6 | -0.1693 |